a | PuScC | PBE-GGA | optimized geometry

The structure in POSCAR format:
```
PuScC
1.0
0.0000 2.9498 2.9498
2.9498 0.0000 2.9498
2.9498 2.9498 0.0000
Pu Sc C
1 1 1
direct
0.0000 0.0000 0.0000 Pu
0.5000 0.5000 0.5000 Sc
0.7500 0.7500 0.7500 C
```

Properties
Its total magnetic moment is 5.64 μB/f.u.

***

b | PuScC | PBE-GGA | optimized geometry

The structure in POSCAR format:
```
PuScC
1.0
3.3382 0.0000 0.0000
-1.6691 2.8909 0.0000
0.0000 0.0000 6.0452
Pu Sc C
1 1 1
direct
0.0000 0.0000 0.0000 Pu
0.6667 0.3333 0.5558 Sc
0.3333 0.6667 0.7575 C
```

Properties
Its total magnetic moment is 5.60 μB/f.u.

***

Stability verdict: b, ahead by 333 meV/atom

***

a | PuSiC | PBE-GGA | optimized geometry

The structure in POSCAR format:
```
PuSiC
1.0
3.3483 0.0000 0.0000
-1.6742 2.8997 0.0000
0.0000 0.0000 4.3311
Pu Si C
1 1 1
direct
0.0000 0.0000 0.0000 Pu
0.6667 0.3333 0.5000 Si
0.3333 0.6667 0.5000 C
```

Properties
Its total magnetic moment is 4.92 μB/f.u.

***

b | PuSiC | PBE-GGA | optimized geometry

The structure in POSCAR format:
```
PuSiC
1.0
6.1118 0.0000 0.0000
0.0000 3.2646 0.0000
0.0000 0.0000 8.0871
Pu Si C
4 4 4
direct
0.0718 0.2500 0.0921 Pu
0.4282 0.7500 0.5921 Pu
0.5718 0.2500 0.4079 Pu
0.9282 0.7500 0.9079 Pu
0.0173 0.7500 0.3725 Si
0.4827 0.2500 0.8725 Si
0.5173 0.7500 0.1275 Si
0.9827 0.2500 0.6275 Si
0.1712 0.2500 0.4214 C
0.3288 0.7500 0.9214 C
0.6712 0.2500 0.0786 C
0.8288 0.7500 0.5786 C
```

Properties
Its total magnetic moment is 0.73 μB/f.u.

***

Stability verdict: a, ahead by 274 meV/atom

***

a | SmPuC | PBE-GGA | optimized geometry

The structure in POSCAR format:
```
SmPuC
1.0
3.4993 0.0000 0.0000
-1.7496 3.0305 0.0000
0.0000 0.0000 6.4172
Sm Pu C
1 1 1
direct
0.0000 0.0000 0.0000 Sm
0.3333 0.6667 0.5540 Pu
0.6667 0.3333 0.7617 C
```

Properties
Its total magnetic moment is 5.42 μB/f.u.

***

b | SmPuC | PBE-GGA | optimized geometry

The structure in POSCAR format:
```
SmPuC
1.0
0.0000 3.1033 3.1033
3.1033 0.0000 3.1033
3.1033 3.1033 0.0000
Sm Pu C
1 1 1
direct
0.0000 0.0000 0.0000 Sm
0.5000 0.5000 0.5000 Pu
0.7500 0.7500 0.7500 C
```

Properties
Its total magnetic moment is 5.76 μB/f.u.

***

Stability verdict: a, ahead by 374 meV/atom

***

a | PuTaC2 | PBE-GGA | optimized geometry

The structure in POSCAR format:
```
PuTaC2
1.0
1.6066 0.9276 5.9215
-1.6066 0.9276 5.9215
0.0000 -1.8552 5.9215
Pu Ta C
1 1 2
direct
0.0000 0.0000 0.0000 Pu
0.1729 0.1729 0.1729 Ta
0.5766 0.5766 0.5766 C
0.7652 0.7652 0.7652 C
```

Properties
Its total magnetic moment is 4.42 μB/f.u.

***

b | PuTaC2 | PBE-GGA | optimized geometry

The structure in POSCAR format:
```
PuTaC2
1.0
1.6363 0.9447 5.6286
-1.6363 0.9447 5.6286
0.0000 -1.8894 5.6286
Pu Ta C
1 1 2
direct
0.0000 0.0000 0.0000 Pu
0.5000 0.5000 0.5000 Ta
0.2408 0.2408 0.2408 C
0.7592 0.7592 0.7592 C
```

Properties
Its total magnetic moment is 4.09 μB/f.u.

***

Stability verdict: b, ahead by 190 meV/atom